Here is a geometry-optimized BeSiHg2 structure from Alexandria via LeMat-Bulk. Energies are from PBE.

energy above the lowest structure with this stoichiometry	198	meV/atom
V	74	Å³ per cell
space-group type	No. 12
electronic total energy	-1.891	eV per atom
M_tot	0.000	μB per atom
raw formation energy	547	meV/atom

```
BeSiHg2
1.0
-2.4161 3.5433 1.0033
-2.9254 1.1180 3.0969
3.0507 2.8344 4.0256
Be Si Hg
1 1 2
Direct
0.2500 0.2500 0.2500
0.7500 0.7500 0.7500
0.9826 0.9826 0.0233
0.5174 0.5174 0.4767
```

***

Here is a geometry-optimized Be2SiHg structure from Alexandria via LeMat-Bulk. Energies are from PBE.

energy above the lowest structure with this stoichiometry	307	meV/atom
V	62	Å³ per cell
space-group type	No. 99
electronic total energy	-2.794	eV per atom
M_tot	0.000	μB per atom
raw formation energy	500	meV/atom

```
Be2SiHg
1.0
-1.2951 0.2860 2.3924
0.5462 -2.6101 0.6100
7.0718 2.3102 3.5522
Be Si Hg
2 1 1
Direct
0.0000 0.0000 0.0371
0.5000 0.5000 0.1694
0.5000 0.5000 0.8510
0.0000 0.0000 0.4425
```

***

Here is a geometry-optimized BeSiHg3 structure from Alexandria via LeMat-Bulk. Energies are from PBE.

energy above the lowest structure with this stoichiometry	180	meV/atom
V	140	Å³ per cell
space-group type	No. 221
electronic total energy	-1.218	eV per atom
M_tot	0.000	μB per atom
raw formation energy	792	meV/atom

```
BeSiHg3
1.0
5.1873 0.0000 0.0000
0.0000 5.1873 0.0000
0.0000 0.0000 5.1873
Be Si Hg
1 1 3
Direct
0.5000 0.5000 0.5000
0.0000 0.0000 0.0000
0.0000 0.5000 0.0000
0.0000 0.0000 0.5000
0.5000 0.0000 0.0000
```

***

Here is a geometry-optimized BeSiHg2 structure from Alexandria via LeMat-Bulk. Energies are from PBE.

energy above the lowest structure with this stoichiometry	206	meV/atom
V	74	Å³ per cell
space-group type	No. 166
electronic total energy	-1.884	eV per atom
M_tot	0.000	μB per atom
raw formation energy	555	meV/atom

```
BeSiHg2
1.0
-7.1108 3.6837 0.4343
-7.2434 1.6329 3.0313
-5.7120 4.5565 3.3065
Be Si Hg
1 1 2
Direct
0.7500 0.7500 0.7500
0.2500 0.2500 0.2500
0.0089 0.0089 0.0089
0.4911 0.4911 0.4911
```

***

Here is a geometry-optimized Be2SiHg structure from Alexandria via LeMat-Bulk. Energies are from PBE.

energy above the lowest structure with this stoichiometry	323	meV/atom
V	57	Å³ per cell
space-group type	No. 166
electronic total energy	-2.778	eV per atom
M_tot	0.000	μB per atom
raw formation energy	516	meV/atom

```
Be2SiHg
1.0
7.5686 -0.0205 -0.0121
6.9906 2.9010 -0.0121
6.9906 1.3831 2.5501
Be Si Hg
2 1 1
Direct
0.0085 0.0085 0.0085
0.4915 0.4915 0.4915
0.7500 0.7500 0.7500
0.2500 0.2500 0.2500
```

***

Here is a geometry-optimized BeSiHg2 structure from Alexandria via LeMat-Bulk. Energies are from PBE.

energy above the lowest structure with this stoichiometry	246	meV/atom
V	72	Å³ per cell
space-group type	No. 47
electronic total energy	-1.844	eV per atom
M_tot	0.000	μB per atom
raw formation energy	594	meV/atom

```
BeSiHg2
1.0
2.8599 0.0000 0.0000
0.0000 3.1347 0.0000
0.0000 0.0000 8.0468
Be Si Hg
1 1 2
Direct
0.5000 0.5000 0.7500
0.5000 0.5000 0.2500
0.0000 0.0000 0.9634
0.0000 0.0000 0.5366
```

***

Here is a geometry-optimized BeSiHg2 structure from Alexandria via LeMat-Bulk. Energies are from PBE.

energy above the lowest structure with this stoichiometry	83	meV/atom
V	79	Å³ per cell
space-group type	No. 35
electronic total energy	-2.006	eV per atom
M_tot	0.000	μB per atom
raw formation energy	432	meV/atom

```
BeSiHg2
1.0
-2.5890 -1.3610 -0.3830
0.5391 -1.0718 2.6950
-4.2872 7.1175 3.6882
Be Si Hg
1 1 2
Direct
0.5000 0.5000 0.7138
0.0000 0.0000 0.5774
0.0000 0.0000 0.9350
0.5000 0.5000 0.2737
```

***

Here is a geometry-optimized BeSiHg2 structure from Alexandria via LeMat-Bulk. Energies are from PBE.

energy above the lowest structure with this stoichiometry	289	meV/atom
V	80	Å³ per cell
space-group type	No. 12
electronic total energy	-1.801	eV per atom
M_tot	0.000	μB per atom
raw formation energy	637	meV/atom

```
BeSiHg2
1.0
-2.1690 2.3015 -3.1286
-1.1959 -4.9494 -0.0733
-4.0039 -0.6595 1.4425
Be Si Hg
1 1 2
Direct
0.5000 0.5000 0.0000
0.0000 0.5000 0.5000
0.0000 0.0000 0.0000
0.5000 0.0000 0.5000
```

***

Here is a geometry-optimized BeSiHg4 structure from Alexandria via LeMat-Bulk. Energies are from PBE.

V	142	Å³ per cell
space-group type	No. 216
electronic total energy	-0.876	eV per atom
M_tot	0.000	μB per atom
raw formation energy	850	meV/atom

```
BeSiHg4
1.0
0.7759 -2.4702 5.2597
-2.7348 -5.0160 1.3149
3.0676 -4.9728 0.4792
Be Si Hg
1 1 4
Direct
0.0000 0.0000 0.0000
0.7500 0.7500 0.7500
0.8753 0.3749 0.3749
0.3749 0.3749 0.8753
0.3749 0.8753 0.3749
0.3749 0.3749 0.3749
```

***

Here is a geometry-optimized BeSiHg2 structure from Alexandria via LeMat-Bulk. Energies are from PBE.

energy above the lowest structure with this stoichiometry	425	meV/atom
V	77	Å³ per cell
space-group type	No. 216
electronic total energy	-1.664	eV per atom
M_tot	0.000	μB per atom
raw formation energy	774	meV/atom

```
BeSiHg2
1.0
4.7674 0.0000 0.0000
2.3837 4.1287 0.0000
2.3837 1.3762 3.8926
Be Si Hg
1 1 2
Direct
0.5000 0.5000 0.5000
0.2500 0.2500 0.2500
0.0000 0.0000 0.0000
0.7500 0.7500 0.7500
```

***

Here is a geometry-optimized BeSiHg2 structure from Alexandria via LeMat-Bulk. Energies are from PBE.

energy above the lowest structure with this stoichiometry	19	meV/atom
V	81	Å³ per cell
space-group type	No. 6
electronic total energy	-2.070	eV per atom
M_tot	0.000	μB per atom
raw formation energy	368	meV/atom

```
BeSiHg2
1.0
4.1058 0.0000 0.0000
0.0000 4.6530 0.0900
0.0000 2.5673 4.2762
Be Si Hg
1 1 2
Direct
0.5000 0.6116 0.7258
0.0000 0.6465 0.5446
0.0000 0.9510 0.9270
0.5000 0.2908 0.3026
```

***

Here is a geometry-optimized BeSiHg2 structure from Alexandria via LeMat-Bulk. Energies are from PBE.

energy above the lowest structure with this stoichiometry	373	meV/atom
V	75	Å³ per cell
space-group type	No. 225
electronic total energy	-1.717	eV per atom
M_tot	0.000	μB per atom
raw formation energy	722	meV/atom

```
BeSiHg2
1.0
-1.8086 2.0350 3.8710
0.7194 4.6074 0.8069
-3.5890 3.0597 -0.3924
Be Si Hg
1 1 2
Direct
0.0000 0.0000 0.0000
0.5000 0.5000 0.5000
0.2500 0.2500 0.2500
0.7500 0.7500 0.7500
```

***

Here is a geometry-optimized Be2SiHg structure from Alexandria via LeMat-Bulk. Energies are from PBE.

energy above the lowest structure with this stoichiometry	416	meV/atom
V	56	Å³ per cell
space-group type	No. 12
electronic total energy	-2.686	eV per atom
M_tot	0.000	μB per atom
raw formation energy	608	meV/atom

```
Be2SiHg
1.0
-3.2811 3.6157 -3.4554
0.0210 -4.4196 -0.6701
-2.9057 -0.0789 0.2713
Be Si Hg
2 1 1
Direct
0.0000 0.0000 0.0000
0.5000 0.0000 0.5000
0.5000 0.5000 0.0000
0.0000 0.5000 0.5000
```

***

Here is a geometry-optimized Be2SiHg structure from Alexandria via LeMat-Bulk. Energies are from PBE.

energy above the lowest structure with this stoichiometry	251	meV/atom
V	62	Å³ per cell
space-group type	No. 6
electronic total energy	-2.851	eV per atom
M_tot	0.000	μB per atom
raw formation energy	444	meV/atom

```
Be2SiHg
1.0
3.8273 0.0000 0.0000
0.0000 3.6994 -0.0243
0.0000 0.0376 4.4129
Be Si Hg
2 1 1
Direct
0.0000 0.0006 0.0231
0.5000 0.9998 0.2667
0.5000 0.9999 0.7673
0.0000 0.4998 0.4429
```

***

Here is a geometry-optimized Be2SiHg structure from Alexandria via LeMat-Bulk. Energies are from PBE.

energy above the lowest structure with this stoichiometry	205	meV/atom
V	63	Å³ per cell
space-group type	No. 12
electronic total energy	-2.897	eV per atom
M_tot	0.000	μB per atom
raw formation energy	397	meV/atom

```
Be2SiHg
1.0
-1.3050 1.5476 -3.2749
-3.2493 -0.1455 -2.0600
-5.2777 5.7825 -0.3883
Be Si Hg
2 1 1
Direct
0.9237 0.9237 0.9109
0.5763 0.5763 0.5891
0.7500 0.7500 0.7500
0.2500 0.2500 0.2500
```

***

Here is a geometry-optimized Be2SiHg2 structure from Alexandria via LeMat-Bulk. Energies are from PBE.

energy above the lowest structure with this stoichiometry	0	meV/atom
V	83	Å³ per cell
space-group type	No. 139
electronic total energy	-2.096	eV per atom
M_tot	0.000	μB per atom
raw formation energy	600	meV/atom

```
Be2SiHg2
1.0
-1.2045 3.1895 -1.1555
-3.3650 -1.2787 -0.0217
-3.0479 2.8611 5.4672
Be Si Hg
2 1 2
Direct
0.7500 0.2500 0.5000
0.2500 0.7500 0.5000
0.0000 0.0000 0.0000
0.3830 0.3830 0.2339
0.6170 0.6170 0.7661
```

***

Here is a geometry-optimized BeTlSi2Hg structure from Alexandria via LeMat-Bulk. Energies are from PBE.

V	105	Å³ per cell
space-group type	No. 123
electronic total energy	-2.868	eV per atom
M_tot	0.000	μB per atom
raw formation energy	580	meV/atom

```
BeTlSi2Hg
1.0
-3.3424 2.8951 0.7500
-3.4793 -3.7178 -1.1539
-0.1058 -1.2385 4.3094
Be Tl Si Hg
1 1 2 1
Direct
0.0000 0.0000 0.0000
0.5000 0.5000 0.5000
0.0000 0.0000 0.5000
0.5000 0.0000 0.0000
0.0000 0.5000 0.0000
```

***

Here is a geometry-optimized SmBeHg structure from Alexandria via LeMat-Bulk. Energies are from PBE.

energy of formation from the pure elements	-0.17	eV/atom
V	130	Å³ per cell
space-group type	No. 63
electronic total energy	-3.087	eV per atom
M_tot	0.000	μB per atom

```
SmBeHg
1.0
4.0872 0.0000 0.0000
0.0000 3.9026 0.0000
0.0000 1.9513 8.1263
Be Hg Sm
2 2 2
Direct
0.7500 0.4687 0.0626
0.2500 0.5313 0.9374
0.7500 0.3027 0.3946
0.2500 0.6973 0.6054
0.7500 0.0998 0.8003
0.2500 0.9002 0.1997
```

***

Here is a geometry-optimized SmTmBeHg structure from Alexandria via LeMat-Bulk. Energies are from PBE.

energy of formation from the pure elements	-0.10	eV/atom
V	95	Å³ per cell
space-group type	No. 216
electronic total energy	-3.406	eV per atom
M_tot	0.001	μB per atom

```
SmTmBeHg
1.0
5.1169 0.0000 0.0000
2.5585 4.4314 0.0000
2.5585 1.4771 4.1779
Be Tm Hg Sm
1 1 1 1
Direct
0.0000 0.0000 0.0000
0.2500 0.2500 0.2500
0.5000 0.5000 0.5000
0.7500 0.7500 0.7500
```

***

Here is a geometry-optimized BeSn2Hg2 structure from Alexandria via LeMat-Bulk. Energies are from PBE.

energy of formation from the pure elements	0.33	eV/atom
energy above the lowest structure with this stoichiometry	57	meV/atom
V	240	Å³ per cell
space-group type	No. 127
electronic total energy	-2.138	eV per atom
M_tot	0.000	μB per atom

```
BeSn2Hg2
1.0
-0.1740 -3.0636 -5.7922
6.5392 -0.4498 0.0414
-0.3551 -4.9216 2.6137
Be Hg Sn
2 4 4
Direct
0.0000 0.0000 0.0000
0.5000 0.5000 0.0000
0.3315 0.8315 0.0000
0.8315 0.6685 0.0000
0.6685 0.1685 0.0000
0.1685 0.3315 0.0000
0.1789 0.6789 0.5000
0.6789 0.8211 0.5000
0.8211 0.3211 0.5000
0.3211 0.1789 0.5000
```

***

Here is a geometry-optimized BeSn2Hg2 structure from Alexandria via LeMat-Bulk. Energies are from PBE.

energy of formation from the pure elements	0.27	eV/atom
energy above the lowest structure with this stoichiometry	0	meV/atom
V	248	Å³ per cell
space-group type	No. 127
electronic total energy	-2.195	eV per atom
M_tot	0.000	μB per atom

```
BeSn2Hg2
1.0
6.6175 0.0000 0.0000
0.0000 6.6175 0.0000
0.0000 0.0000 5.6716
Be Hg Sn
2 4 4
Direct
0.0000 0.0000 0.0000
0.5000 0.5000 0.0000
0.1916 0.6916 0.5000
0.6916 0.8084 0.5000
0.8084 0.3084 0.5000
0.3084 0.1916 0.5000
0.3419 0.8419 0.0000
0.8419 0.6581 0.0000
0.6581 0.1581 0.0000
0.1581 0.3419 0.0000
```

***

Here is a geometry-optimized Be2SnHg structure from Alexandria via LeMat-Bulk. Energies are from PBE.

energy of formation from the pure elements	0.53	eV/atom
energy above the lowest structure with this stoichiometry	0	meV/atom
V	149	Å³ per cell
space-group type	No. 122
electronic total energy	-2.414	eV per atom
M_tot	0.000	μB per atom

```
Be2SnHg
1.0
-3.2274 0.6875 -2.7316
-2.7433 -1.7097 2.8109
-4.1974 6.8240 3.3181
Be Hg Sn
4 2 2
Direct
0.6979 0.1250 0.2500
0.0521 0.6250 0.2500
0.3750 0.3021 0.7500
0.8750 0.9479 0.7500
0.0000 0.0000 0.0000
0.7500 0.2500 0.5000
0.5000 0.5000 0.0000
0.2500 0.7500 0.5000
```

***

Here is a geometry-optimized BeSnHg3 structure from Alexandria via LeMat-Bulk. Energies are from PBE.

energy of formation from the pure elements	0.77	eV/atom
energy above the lowest structure with this stoichiometry	488	meV/atom
V	191	Å³ per cell
space-group type	No. 221
electronic total energy	-0.959	eV per atom
M_tot	0.000	μB per atom

```
BeSnHg3
1.0
5.7564 0.0000 0.0000
0.0000 5.7564 0.0000
0.0000 0.0000 5.7564
Be Hg Sn
1 3 1
Direct
0.5000 0.5000 0.5000
0.0000 0.5000 0.0000
0.0000 0.0000 0.5000
0.5000 0.0000 0.0000
0.0000 0.0000 0.0000
```

***

Here is a geometry-optimized BeSn2Hg structure from Alexandria via LeMat-Bulk. Energies are from PBE.

energy of formation from the pure elements	0.50	eV/atom
energy above the lowest structure with this stoichiometry	78	meV/atom
V	92	Å³ per cell
space-group type	No. 225
electronic total energy	-2.511	eV per atom
M_tot	0.000	μB per atom

```
BeSn2Hg
1.0
0.0000 3.5821 3.5821
3.5821 0.0000 3.5821
3.5821 3.5821 0.0000
Be Hg Sn
1 1 2
Direct
0.0000 0.0000 0.0000
0.5000 0.5000 0.5000
0.2500 0.2500 0.2500
0.7500 0.7500 0.7500
```

***

Here is a geometry-optimized Be2SnHg structure from Alexandria via LeMat-Bulk. Energies are from PBE.

energy of formation from the pure elements	0.69	eV/atom
energy above the lowest structure with this stoichiometry	164	meV/atom
V	69	Å³ per cell
space-group type	No. 225
electronic total energy	-2.250	eV per atom
M_tot	0.000	μB per atom

```
Be2SnHg
1.0
0.0000 3.2508 3.2508
3.2508 0.0000 3.2508
3.2508 3.2508 0.0000
Be Hg Sn
2 1 1
Direct
0.2500 0.2500 0.2500
0.7500 0.7500 0.7500
0.5000 0.5000 0.5000
0.0000 0.0000 0.0000
```

***

Here is a geometry-optimized BeSnHg structure from Alexandria via LeMat-Bulk. Energies are from PBE.

energy of formation from the pure elements	0.27	eV/atom
V	125	Å³ per cell
space-group type	No. 156
electronic total energy	-2.405	eV per atom
M_tot	0.000	μB per atom

```
BeSnHg
1.0
4.3614 0.0009 0.0005
-0.0011 7.5730 -0.0008
-2.1815 -0.0001 3.7775
Be Hg Sn
2 2 2
Direct
0.5016 0.1421 0.7906
0.5007 0.8358 0.7905
0.8345 0.2594 0.4573
0.5011 0.4811 0.7907
0.8342 0.7027 0.4571
0.1680 0.9912 0.1239
```

***

Here is a geometry-optimized Be2SnHg2 structure from Alexandria via LeMat-Bulk. Energies are from PBE.

energy of formation from the pure elements	0.41	eV/atom
energy above the lowest structure with this stoichiometry	0	meV/atom
V	93	Å³ per cell
space-group type	No. 139
electronic total energy	-2.000	eV per atom
M_tot	0.000	μB per atom

```
Be2SnHg2
1.0
-3.0080 2.1379 1.3050
-1.6316 -3.2198 1.5139
0.6390 0.4233 6.6494
Be Hg Sn
2 2 1
Direct
0.7500 0.2500 0.5000
0.2500 0.7500 0.5000
0.3745 0.3745 0.2510
0.6255 0.6255 0.7490
0.0000 0.0000 0.0000
```

***

Here is a geometry-optimized BeSnHg2 structure from Alexandria via LeMat-Bulk. Energies are from PBE.

energy of formation from the pure elements	0.54	eV/atom
energy above the lowest structure with this stoichiometry	142	meV/atom
V	89	Å³ per cell
space-group type	No. 225
electronic total energy	-1.540	eV per atom
M_tot	0.000	μB per atom

```
BeSnHg2
1.0
-3.6993 -1.6799 2.9271
-3.8644 -2.4655 -2.0156
-0.5250 -4.9154 0.7988
Be Hg Sn
1 2 1
Direct
0.0000 0.0000 0.0000
0.2500 0.2500 0.2500
0.7500 0.7500 0.7500
0.5000 0.5000 0.5000
```

***

Here is a geometry-optimized BeSnHg3 structure from Alexandria via LeMat-Bulk. Energies are from PBE.

energy of formation from the pure elements	0.28	eV/atom
energy above the lowest structure with this stoichiometry	0	meV/atom
V	117	Å³ per cell
space-group type	No. 221
electronic total energy	-1.447	eV per atom
M_tot	0.000	μB per atom

```
BeSnHg3
1.0
-0.5127 0.0885 -4.8596
-1.4327 -4.6722 0.0661
-4.6445 1.4315 0.5161
Be Hg Sn
1 3 1
Direct
0.0000 0.0000 0.0000
0.0000 0.5000 0.0000
0.0000 0.0000 0.5000
0.5000 0.0000 0.0000
0.5000 0.5000 0.5000
```